[1]
Here is crystalline Mg2Zn3Se at its relaxed geometry from Alexandria via LeMat-Bulk. Energies are from GGA-PBE.

a b c (Å): 6.667 6.667 6.079
angles (deg): 90.00 90.00 77.03
Positions (direct):
Zn (0.638, 0.613, 0.250)
Se (0.201, 0.799, 0.750)
Zn (0.387, 0.362, 0.250)
Zn (0.613, 0.638, 0.750)
Zn (0.245, 0.755, 0.250)
Mg (0.848, 0.848, 0.000)
Mg (0.152, 0.152, 0.500)
Mg (0.848, 0.848, 0.500)
Se (0.799, 0.201, 0.250)
Zn (0.755, 0.245, 0.750)
Mg (0.152, 0.152, 0.000)
Zn (0.362, 0.387, 0.750)

Output
SG: Cmcm
ΔE to the lowest computed polymorph, eV/atom: 0.214
M_tot, μB/f.u.: 0.00
Formation energy from raw total energies, eV per atom: -0.10
Volume, Å³ per cell: 263


[2]
Here is crystalline MgZnSe at its relaxed geometry from Alexandria via LeMat-Bulk. Energies are from GGA-PBE.

a b c (Å): 4.689 4.689 4.689
angles (deg): 60.00 60.00 60.00
Positions (direct):
Se (0.750, 0.750, 0.750)
Zn (0.000, 0.000, 0.000)
Mg (0.500, 0.500, 0.500)

Output
SG: F-43m
ΔE to the lowest computed polymorph, eV/atom: 0.430
M_tot, μB/f.u.: 0.00
Formation energy from raw total energies, eV per atom: -0.18
Volume, Å³ per cell: 73


[3]
Here is crystalline MgZnSe at its relaxed geometry from Alexandria via LeMat-Bulk. Energies are from GGA-PBE.

a b c (Å): 3.652 3.800 20.177
angles (deg): 90.00 90.00 90.00
Positions (direct):
Se (0.501, 0.750, 0.866)
Zn (0.999, 0.250, 0.039)
Se (0.499, 0.250, 0.366)
Zn (0.001, 0.750, 0.961)
Zn (0.001, 0.750, 0.539)
Se (0.501, 0.750, 0.634)
Mg (0.999, 0.750, 0.326)
Mg (0.001, 0.250, 0.826)
Zn (0.999, 0.250, 0.461)
Mg (0.001, 0.250, 0.674)
Se (0.499, 0.250, 0.134)
Mg (0.999, 0.750, 0.174)

Output
SG: Cmmm
ΔE to the lowest computed polymorph, eV/atom: 0.198
M_tot, μB/f.u.: 0.27
Formation energy from raw total energies, eV per atom: -0.41
Volume, Å³ per cell: 280